(1)
The following is a PBE-GGA calculation of crystalline HfTiCrNi at its relaxed geometry, from Alexandria.

Geometry as POSCAR:
```
HfTiCrNi
1.0
4.381 0.000 0.000
2.190 3.794 0.000
2.190 1.265 3.577
Ni Ti Hf Cr
1 1 1 1
Cartesian
4.381 2.529 1.788 Ni
2.190 1.265 0.894 Ti
6.571 3.794 2.683 Hf
0.000 0.000 0.000 Cr
```

crystal system: cubic
DFT total energy: -8.450 eV/atom
calculated volume: 59.4 Å³/cell

***

(2)
The following is a PBE-GGA calculation of crystalline Hf2TlCrNi at its relaxed geometry, from Alexandria.

Geometry as POSCAR:
```
Hf2TlCrNi
1.0
4.784 0.000 0.000
0.000 4.464 0.000
0.000 0.000 4.784
Ni Tl Hf Cr
1 1 2 1
Cartesian
0.000 2.232 0.000 Ni
2.392 2.232 2.392 Tl
0.000 0.000 2.392 Hf
2.392 0.000 0.000 Hf
0.000 0.000 0.000 Cr
```

crystal system: tetragonal
DFT total energy: -6.917 eV/atom
calculated volume: 102.2 Å³/cell